# Cs2CePrS4 | Alexandria via LeMat-Bulk | PBE | relaxed
# Formation energy (no corrections) in eV per formula unit: -14.212
data_Cs2CePrS4
_chemical_formula_sum 'Cs2 Ce1 Pr1 S4'
_cell_length_a 7.412
_cell_length_b 4.283
_cell_length_c 8.448
_cell_angle_alpha 90.00
_cell_angle_beta 107.01
_cell_angle_gamma 90.00
_space_group_name_H-M_alt 'P 1 2/m 1'
_space_group_IT_number 10
loop_
_space_group_symop_operation_xyz
'x,y,z'
'-x,-y,-z'
'-x,y,-z'
'x,-y,z'
loop_
_atom_site_label
_atom_site_type_symbol
_atom_site_fract_x
_atom_site_fract_y
_atom_site_fract_z
Cs1 Cs 0.000 0.000 0.000
Cs2 Cs 0.500 0.500 0.000
Ce1 Ce 0.000 0.500 0.500
Pr1 Pr 0.500 0.000 0.500
S1 S 0.226 0.000 0.685
S2 S 0.269 0.500 0.313


# Pa2ZnCo | Alexandria via LeMat-Bulk | PBE | relaxed
# ΔE_f in kJ/mol of atoms: 29.1
data_Pa2ZnCo
_chemical_formula_sum 'Pa6 Zn3 Co3'
_cell_length_a 3.3235
_cell_length_b 3.3235
_cell_length_c 29.6477
_cell_angle_alpha 90.00
_cell_angle_beta 90.00
_cell_angle_gamma 120.00
_space_group_name_H-M_alt 'R -3 m'
_space_group_IT_number 166
_space_group_name_Hall '-R 3 2"'
loop_
_atom_site_label
_atom_site_type_symbol
_atom_site_fract_x
_atom_site_fract_y
_atom_site_fract_z
Pa1 Pa 0.0000 0.0000 0.1064
Zn1 Zn 0.0000 0.0000 0.0000
Co1 Co 0.0000 0.0000 0.5000


# AlTePb4 | Alexandria via LeMat-Bulk | PBE | relaxed
# Formation energy (no corrections) in eV per formula unit: 1.868
data_AlTePb4
_chemical_formula_sum 'Al4 Te4 Pb16'
_cell_length_a 9.162
_cell_length_b 9.162
_cell_length_c 9.162
_cell_angle_alpha 90.00
_cell_angle_beta 90.00
_cell_angle_gamma 90.00
_space_group_name_H-M_alt 'F -4 3 m'
_space_group_IT_number 216
_space_group_name_Hall 'F -4 2 3'
loop_
_atom_site_label
_atom_site_type_symbol
_atom_site_fract_x
_atom_site_fract_y
_atom_site_fract_z
Al1 Al 0.000 0.000 0.000
Te1 Te 0.250 0.250 0.250
Pb1 Pb 0.126 0.126 0.626


# PrInGa | Alexandria via LeMat-Bulk | PBE | relaxed
# ΔE_f in kJ/mol of atoms: -51.5
data_PrInGa
_chemical_formula_sum 'Pr1 In1 Ga1'
_cell_length_a 4.5846
_cell_length_b 4.5846
_cell_length_c 4.2828
_cell_angle_alpha 90.00
_cell_angle_beta 90.00
_cell_angle_gamma 120.00
_space_group_name_H-M_alt 'P 3 m 1'
_space_group_IT_number 156
loop_
_space_group_symop_operation_xyz
'x,y,z'
'-y,x-y,z'
'-x+y,-x,z'
'-y,-x,z'
'-x+y,y,z'
'x,x-y,z'
loop_
_atom_site_label
_atom_site_type_symbol
_atom_site_fract_x
_atom_site_fract_y
_atom_site_fract_z
Pr1 Pr 0.0000 0.0000 0.0000
In1 In 0.6667 0.3333 0.4655
Ga1 Ga 0.3333 0.6667 0.5941


# ZrCrTc2 | Alexandria via LeMat-Bulk | PBE | relaxed
# ΔE_f in kJ/mol of atoms: 0.8
data_ZrCrTc2
_chemical_formula_sum 'Zr4 Cr4 Tc8'
_cell_length_a 6.273
_cell_length_b 6.273
_cell_length_c 6.273
_cell_angle_alpha 90.00
_cell_angle_beta 90.00
_cell_angle_gamma 90.00
_space_group_name_H-M_alt 'F -4 3 m'
_space_group_IT_number 216
_space_group_name_Hall 'F -4 2 3'
loop_
_atom_site_label
_atom_site_type_symbol
_atom_site_fract_x
_atom_site_fract_y
_atom_site_fract_z
Zr1 Zr 0.000 0.000 0.000
Cr1 Cr 0.250 0.250 0.250
Tc1 Tc 0.000 0.000 0.500
Tc2 Tc 0.250 0.250 0.750


# Cd2CuTe | Alexandria via LeMat-Bulk | PBE | relaxed
# Formation energy (no corrections) in eV per formula unit: 0.310
data_Cd2CuTe
_chemical_formula_sum 'Cd4 Cu2 Te2'
_cell_length_a 3.753
_cell_length_b 3.855
_cell_length_c 13.018
_cell_angle_alpha 90.00
_cell_angle_beta 90.00
_cell_angle_gamma 90.00
_space_group_name_H-M_alt 'I m m m'
_space_group_IT_number 71
_space_group_name_Hall '-I 2 2'
loop_
_atom_site_label
_atom_site_type_symbol
_atom_site_fract_x
_atom_site_fract_y
_atom_site_fract_z
Cd1 Cd 0.000 0.000 0.195
Cu1 Cu 0.000 0.500 0.500
Te1 Te 0.000 0.500 0.000


# KReTcO6 | Alexandria via LeMat-Bulk | PBE | relaxed
# Formation energy (no corrections) in eV per formula unit: -13.795
data_KReTcO6
_chemical_formula_sum 'K1 Re1 Tc1 O6'
_cell_length_a 5.3317
_cell_length_b 5.3317
_cell_length_c 5.8768
_cell_angle_alpha 90.00
_cell_angle_beta 90.00
_cell_angle_gamma 120.00
_space_group_name_H-M_alt 'P 3 1 2'
_space_group_IT_number 149
loop_
_space_group_symop_operation_xyz
'x,y,z'
'-y,x-y,z'
'-x+y,-x,z'
'-y,-x,-z'
'-x+y,y,-z'
'x,x-y,-z'
loop_
_atom_site_label
_atom_site_type_symbol
_atom_site_fract_x
_atom_site_fract_y
_atom_site_fract_z
K1 K 0.0000 0.0000 0.0000
Re1 Re 0.3333 0.6667 0.5000
Tc1 Tc 0.6667 0.3333 0.5000
O1 O 0.0108 0.3982 0.6815


# SmScNi2 | Alexandria via LeMat-Bulk | PBE | relaxed
# ΔE_f in kJ/mol of atoms: -38.2
data_SmScNi2
_chemical_formula_sum 'Sm1 Sc1 Ni2'
_cell_length_a 3.645
_cell_length_b 4.159
_cell_length_c 5.335
_cell_angle_alpha 90.00
_cell_angle_beta 110.06
_cell_angle_gamma 90.00
_space_group_name_H-M_alt 'P 1 m 1'
_space_group_IT_number 6
loop_
_space_group_symop_operation_xyz
'x,y,z'
'x,-y,z'
loop_
_atom_site_label
_atom_site_type_symbol
_atom_site_fract_x
_atom_site_fract_y
_atom_site_fract_z
Sm1 Sm 0.000 0.000 0.000
Sc1 Sc 0.721 0.500 0.442
Ni1 Ni 0.278 0.000 0.556
Ni2 Ni 0.420 0.500 0.841


VASP calculation (PBE) on crystalline LiLa2H at its relaxed geometry.

```
data_LiLa2H
_chemical_formula_sum 'Li3 La6 H3'
_cell_length_a 3.5105
_cell_length_b 3.5105
_cell_length_c 29.5556
_cell_angle_alpha 90.00
_cell_angle_beta 90.00
_cell_angle_gamma 120.00
_space_group_name_H-M_alt 'R -3 m'
_space_group_IT_number 166
_space_group_name_Hall '-R 3 2"'
loop_
_atom_site_label
_atom_site_type_symbol
_atom_site_fract_x
_atom_site_fract_y
_atom_site_fract_z
Li1 Li 0.0000 0.0000 0.0000
La1 La 0.0000 0.0000 0.1140
H1 H 0.0000 0.0000 0.5000
```


# NaSe3O9 | Alexandria via LeMat-Bulk | PBE | relaxed
# Formation energy (no corrections) in eV per formula unit: -7.709
data_NaSe3O9
_chemical_formula_sum 'Na4 Se12 O36'
_cell_length_a 10.425
_cell_length_b 11.034
_cell_length_c 8.410
_cell_angle_alpha 90.00
_cell_angle_beta 90.00
_cell_angle_gamma 90.00
_space_group_name_H-M_alt 'C 2 2 21'
_space_group_IT_number 20
loop_
_space_group_symop_operation_xyz
'x,y,z'
'-x,-y,z+1/2'
'x,-y,-z'
'-x,y,-z+1/2'
'x+1/2,y+1/2,z'
'-x+1/2,-y+1/2,z+1/2'
'x+1/2,-y+1/2,-z'
'-x+1/2,y+1/2,-z+1/2'
loop_
_atom_site_label
_atom_site_type_symbol
_atom_site_fract_x
_atom_site_fract_y
_atom_site_fract_z
Na1 Na 0.196 0.000 0.000
Se1 Se 0.008 0.298 0.461
Se2 Se 0.227 0.500 0.000
O1 O 0.000 0.352 0.250
O2 O 0.034 0.156 0.022
O3 O 0.122 0.389 0.918
O4 O 0.146 0.336 0.539
O5 O 0.199 0.047 0.659


# Ni2SbBr | Alexandria via LeMat-Bulk | PBE | relaxed
# Formation energy (no corrections) in eV per formula unit: 1.619
data_Ni2SbBr
_chemical_formula_sum 'Ni4 Sb2 Br2'
_cell_length_a 3.596
_cell_length_b 3.596
_cell_length_c 11.565
_cell_angle_alpha 90.00
_cell_angle_beta 90.00
_cell_angle_gamma 90.00
_space_group_name_H-M_alt 'I -4 m 2'
_space_group_IT_number 119
_space_group_name_Hall 'I -4 -2'
loop_
_atom_site_label
_atom_site_type_symbol
_atom_site_fract_x
_atom_site_fract_y
_atom_site_fract_z
Ni1 Ni 0.000 0.000 0.000
Ni2 Ni 0.000 0.500 0.250
Sb1 Sb 0.000 0.500 0.750
Br1 Br 0.000 0.000 0.500


VASP calculation (PBE) on crystalline AcCeH3 at its relaxed geometry.

```
data_AcCeH3
_chemical_formula_sum 'Ac1 Ce1 H3'
_cell_length_a 4.404
_cell_length_b 4.404
_cell_length_c 4.404
_cell_angle_alpha 90.00
_cell_angle_beta 90.00
_cell_angle_gamma 90.00
_space_group_name_H-M_alt 'P m -3 m'
_space_group_IT_number 221
_space_group_name_Hall '-P 4 2 3'
loop_
_atom_site_label
_atom_site_type_symbol
_atom_site_fract_x
_atom_site_fract_y
_atom_site_fract_z
Ac1 Ac 0.000 0.000 0.000
Ce1 Ce 0.500 0.500 0.500
H1 H 0.000 0.500 0.500
```


# CeGe3Os3 | Alexandria via LeMat-Bulk | PBE | relaxed
# ΔE_f in kJ/mol of atoms: 0.4
data_CeGe3Os3
_chemical_formula_sum 'Ce6 Ge18 Os18'
_cell_length_a 6.4579
_cell_length_b 6.4579
_cell_length_c 22.2268
_cell_angle_alpha 90.00
_cell_angle_beta 90.00
_cell_angle_gamma 120.00
_space_group_name_H-M_alt 'R -3'
_space_group_IT_number 148
_space_group_name_Hall '-R 3'
loop_
_atom_site_label
_atom_site_type_symbol
_atom_site_fract_x
_atom_site_fract_y
_atom_site_fract_z
Ce1 Ce 0.0000 0.0000 0.1839
Ge1 Ge 0.0319 0.5933 0.2472
Os1 Os 0.0236 0.7711 0.6991


| no. | DOS at the Fermi energy (states/eV per atom) | VASP energy (Ry/atom) | size of the total moment (μB/atom) |
| --- | --- | --- | --- |
| 1 | 0.605 | -0.396 | 0.125 |
| 2 | 1.173 | -0.481 | 0.000 |
| 3 | 0.667 | -0.243 | 0.000 |
| 4 | 0.497 | -0.298 | 0.000 |
| 5 | 0.804 | -0.714 | 0.001 |
| 6 | 0.358 | -0.161 | 0.000 |
| 7 | 0.372 | -0.551 | 0.272 |
| 8 | 0.758 | -0.445 | 0.000 |
| 9 | 0.670 | -0.280 | 0.000 |
| 10 | 0.222 | -0.362 | 0.077 |
| 11 | 0.559 | -0.289 | 0.000 |
| 12 | 1.041 | -0.313 | 0.352 |
| 13 | 0.949 | -0.561 | 0.000 |